(1)
The following is a PBE calculation of a geometry-optimized ZrAlAgIr structure, from Alexandria via LeMat-Bulk.

Properties
total DFT energy (no corrections): -25.99 eV per formula unit
symmetry: F-43m (216)
magnetic moment: 0.00 μB per formula unit

Cell lengths 4.598, 4.598, 4.598 Å; angles 60.00, 60.00, 60.00 degrees
Element x y z (fractional)
Ag (0.250, 0.250, 0.250)
Al (0.000, 0.000, 0.000)
Zr (0.500, 0.500, 0.500)
Ir (0.750, 0.750, 0.750)

(2)
The following is a PBE calculation of a geometry-optimized KAl2Ag structure, from Alexandria via LeMat-Bulk.

Properties
energy relative to the lowest polymorph listed for this composition: 0.11 kcal/mol of atoms
symmetry: Cm (8)
magnetic moment: 0.00 μB per formula unit

Cell lengths 4.731, 4.731, 7.290 Å; angles 83.24, 83.24, 38.44 degrees
Element x y z (fractional)
Al (0.732, 0.732, 0.844)
Al (0.999, 0.999, 0.998)
K (0.499, 0.499, 0.501)
Ag (0.270, 0.270, 0.156)

Repeat the second record exactly.
The following is a PBE calculation of a geometry-optimized KAl2Ag structure, from Alexandria via LeMat-Bulk.

Properties
energy relative to the lowest polymorph listed for this composition: 0.11 kcal/mol of atoms
symmetry: Cm (8)
magnetic moment: 0.00 μB per formula unit

Cell lengths 4.731, 4.731, 7.290 Å; angles 83.24, 83.24, 38.44 degrees
Element x y z (fractional)
Al (0.732, 0.732, 0.844)
Al (0.999, 0.999, 0.998)
K (0.499, 0.499, 0.501)
Ag (0.270, 0.270, 0.156)

> Which formula does entry 2 have?

KAl2Ag